Compound: LaZn2Bi2
Source: the Alexandria database
Functional: PBE
Structure: optimized geometry

Calculated values
As for the space group: I4/mmm, No. 139.

Lattice parameters (Å, degrees): 4.277 4.277 8.019 74.53 74.53 90.00
Fractional positions:
Zn1 0.750 0.250 0.500
Bi1 0.384 0.384 0.233
Bi2 0.616 0.616 0.767
La1 0.000 0.000 0.000
Zn2 0.250 0.750 0.500

=====

Compound: La5Zn2Bi
Source: the Alexandria database
Functional: PBE
Structure: optimized geometry

Calculated values
As for the space group: I4/mcm, No. 140.

Lattice parameters (Å, degrees): 8.693 8.693 9.045 118.72 118.72 90.00
Fractional positions:
La1 0.990 0.490 0.287
Bi1 0.250 0.250 0.500
La2 0.000 0.000 0.000
La3 0.010 0.510 0.713
Zn1 0.357 0.857 0.000
Bi2 0.750 0.750 0.500
Zn2 0.143 0.357 0.000
Zn3 0.857 0.643 0.000
La4 0.297 0.797 0.287
La5 0.500 0.500 0.000
La6 0.510 0.703 0.713
La7 0.203 0.010 0.713
Zn4 0.643 0.143 0.000
La8 0.703 0.203 0.713
La9 0.490 0.297 0.287
La10 0.797 0.990 0.287

=====

Compound: LaZn2Bi
Source: the Alexandria database
Functional: PBE
Structure: optimized geometry

Calculated values
As for the space group: I-42d, No. 122.

Lattice parameters (Å, degrees): 4.628 4.628 11.167 78.04 78.04 90.00
Fractional positions:
Zn1 0.718 0.125 0.250
Zn2 0.375 0.282 0.750
Zn3 0.032 0.625 0.250
La1 0.250 0.750 0.500
Bi1 0.000 0.000 0.000
Bi2 0.750 0.250 0.500
La2 0.500 0.500 0.000
Zn4 0.875 0.968 0.750

=====

Compound: La2Zn2Bi
Source: the Alexandria database
Functional: PBE
Structure: optimized geometry

Calculated values
Its energy above the most stable polymorph in this dataset is 0 meV/atom. As for the space group: P4/mbm, No. 127.

Lattice parameters (Å, degrees): 7.701 7.701 4.602 90.00 90.00 90.00
Fractional positions:
Zn1 0.618 0.118 0.000
Bi1 0.000 0.000 0.000
Bi2 0.500 0.500 0.000
La1 0.827 0.327 0.500
La2 0.673 0.827 0.500
La3 0.327 0.173 0.500
Zn2 0.882 0.618 0.000
Zn3 0.118 0.382 0.000
Zn4 0.382 0.882 0.000
La4 0.173 0.673 0.500

=====

Compound: La8ZnBi5
Source: the Alexandria database
Functional: PBE
Structure: optimized geometry

Calculated values
As for the space group: I-4, No. 82.

Lattice parameters (Å, degrees): 8.507 8.507 8.507 109.98 108.45 109.98
Fractional positions:
La1 0.271 0.261 0.387
Zn1 0.250 0.500 0.750
La2 0.613 0.883 0.874
Bi1 0.500 0.000 0.500
La3 0.128 0.751 0.524
La4 0.772 0.249 0.376
La5 0.624 0.396 0.872
La6 0.476 0.604 0.228
Bi2 0.878 0.871 0.247
Bi3 0.993 0.369 0.122
La7 0.991 0.117 0.729
Bi4 0.376 0.129 0.007
La8 0.126 0.739 0.009
Bi5 0.753 0.631 0.624

=====

Compound: LaZn2Bi2
Source: the Alexandria database
Functional: PBE
Structure: optimized geometry

Calculated values
As for the space group: P4/mbm, No. 127.

Lattice parameters (Å, degrees): 8.560 8.560 3.685 90.00 90.00 90.00
Fractional positions:
Zn1 0.844 0.344 0.500
Bi1 0.143 0.357 0.000
Bi2 0.857 0.643 0.000
Zn2 0.156 0.656 0.500
La1 0.500 0.500 0.000
La2 0.000 0.000 0.000
Bi3 0.357 0.857 0.000
Bi4 0.643 0.143 0.000
Zn3 0.344 0.156 0.500
Zn4 0.656 0.844 0.500

=====

Compound: LaZnBi2
Source: the Alexandria database
Functional: PBE
Structure: optimized geometry

Calculated values
As for the space group: I-42d, No. 122.

Lattice parameters (Å, degrees): 8.221 8.221 6.823 52.95 52.95 90.00
Fractional positions:
La1 0.000 0.000 0.000
Bi1 0.575 0.125 0.250
Bi2 0.375 0.425 0.750
Zn1 0.500 0.500 0.000
Bi3 0.875 0.825 0.750
La2 0.750 0.250 0.500
Zn2 0.250 0.750 0.500
Bi4 0.175 0.625 0.250

=====

Compound: La2Zn2Bi
Source: the Alexandria database
Functional: PBE
Structure: optimized geometry

Calculated values
Its energy above the most stable polymorph in this dataset is 244 meV/atom. As for the space group: P4/mbm, No. 127.

Lattice parameters (Å, degrees): 8.941 8.941 3.685 90.00 90.00 90.00
Fractional positions:
Zn1 0.893 0.393 0.500
La1 0.316 0.816 0.000
La2 0.816 0.684 0.000
Zn2 0.607 0.893 0.500
Bi1 0.500 0.500 0.000
Bi2 0.000 0.000 0.000
La3 0.184 0.316 0.000
Zn3 0.107 0.607 0.500
Zn4 0.393 0.107 0.500
La4 0.684 0.184 0.000

=====

Compound: LaZnBi2
Source: the Alexandria database
Functional: PBE
Structure: optimized geometry

Calculated values
As for the space group: P4/mmm, No. 123.

Lattice parameters (Å, degrees): 4.849 4.847 4.847 90.00 90.00 90.00
Fractional positions:
La1 0.500 0.500 0.500
Bi1 0.000 0.000 0.500
Bi2 0.000 0.500 0.000
Zn1 0.500 0.000 0.000

=====

Compound: LaZrZn2Bi
Source: the Alexandria database
Functional: PBE
Structure: optimized geometry

Calculated values
As for the space group: P4/mmm, No. 123.

Lattice parameters (Å, degrees): 5.175 5.519 5.175 90.00 90.00 90.00
Fractional positions:
Zn1 0.500 0.000 0.000
Bi1 0.000 0.500 0.000
La1 0.500 0.500 0.500
Zr1 0.000 0.000 0.000
Zn2 0.000 0.000 0.500

=====

Compound: La2ZrBi4
Source: the Alexandria database
Functional: PBE
Structure: optimized geometry

Calculated values
As for the space group: I4/mmm, No. 139.

Lattice parameters (Å, degrees): 5.669 5.669 8.986 71.61 71.61 90.00
Fractional positions:
Bi1 0.500 0.000 0.000
Zr1 0.000 0.000 0.000
Bi2 0.184 0.184 0.632
Bi3 0.816 0.816 0.368
La1 0.381 0.381 0.238
Bi4 0.000 0.500 0.000
La2 0.619 0.619 0.762

=====

Compound: LaZrBi3
Source: the Alexandria database
Functional: PBE
Structure: optimized geometry

Calculated values
Its energy above the most stable polymorph in this dataset is 0 meV/atom. As for the space group: Pbcm, No. 57.

Lattice parameters (Å, degrees): 6.604 6.684 14.009 90.00 90.00 90.00
Fractional positions:
Bi1 0.750 0.378 0.922
Bi2 0.750 0.878 0.078
La1 0.750 0.488 0.684
Bi3 0.250 0.122 0.922
La2 0.250 0.012 0.684
Bi4 0.500 0.750 0.504
Bi5 0.000 0.750 0.504
Zr1 0.500 0.750 0.909
Zr2 0.000 0.750 0.909
Bi6 0.750 0.988 0.762
Bi7 0.000 0.250 0.496
La3 0.250 0.512 0.316
Bi8 0.750 0.488 0.238
Bi9 0.500 0.250 0.496
Zr3 0.000 0.250 0.091
Bi10 0.250 0.622 0.078
Bi11 0.250 0.512 0.762
Zr4 0.500 0.250 0.091
La4 0.750 0.988 0.316
Bi12 0.250 0.012 0.238

=====

Compound: LaZrBi3
Source: the Alexandria database
Functional: PBE
Structure: optimized geometry

Calculated values
Its energy above the most stable polymorph in this dataset is 170 meV/atom. As for the space group: P2_1/m, No. 11.

Lattice parameters (Å, degrees): 6.044 5.976 9.083 90.00 82.35 90.00
Fractional positions:
La1 0.072 0.250 0.195
Bi1 0.458 0.750 0.656
Zr1 0.529 0.750 0.317
Bi2 0.284 0.750 0.049
Bi3 0.984 0.250 0.628
Bi4 0.716 0.250 0.951
Bi5 0.542 0.250 0.344
Bi6 0.016 0.750 0.372
La2 0.928 0.750 0.805
Zr2 0.471 0.250 0.683

=====

Compound: LaZrBi3
Source: the Alexandria database
Functional: PBE
Structure: optimized geometry

Calculated values
Its energy above the most stable polymorph in this dataset is 472 meV/atom. As for the space group: Pm-3m, No. 221.

Lattice parameters (Å, degrees): 5.652 5.652 5.652 90.00 90.00 90.00
Fractional positions:
La1 0.500 0.500 0.500
Bi1 0.000 0.500 0.000
Bi2 0.500 0.000 0.000
Zr1 0.000 0.000 0.000
Bi3 0.000 0.000 0.500

=====

Compound: La2Zr2Bi
Source: the Alexandria database
Functional: PBE
Structure: optimized geometry

Calculated values
As for the space group: P4/mbm, No. 127.

Lattice parameters (Å, degrees): 7.849 7.849 4.746 90.00 90.00 90.00
Fractional positions:
Zr1 0.134 0.366 0.000
Bi1 0.500 0.500 0.000
Bi2 0.000 0.000 0.000
La1 0.674 0.826 0.500
Zr2 0.866 0.634 0.000
La2 0.326 0.174 0.500
La3 0.174 0.674 0.500
Zr3 0.634 0.134 0.000
La4 0.826 0.326 0.500
Zr4 0.366 0.866 0.000

=====

Compound: La2ZrBi2
Source: the Alexandria database
Functional: PBE
Structure: optimized geometry

Calculated values
As for the space group: P4/mbm, No. 127.

Lattice parameters (Å, degrees): 8.234 8.234 4.651 90.00 90.00 90.00
Each line ends with the local moment (μB).
Fractional positions:
La1 0.162 0.662 0.500  0.15
Bi1 0.852 0.648 0.000  -0.04
Zr1 0.000 0.000 0.000  0.76
Zr2 0.500 0.500 0.000  0.76
La2 0.838 0.338 0.500  0.15
La3 0.662 0.838 0.500  0.16
Bi2 0.352 0.852 0.000  -0.04
Bi3 0.648 0.148 0.000  -0.04
La4 0.338 0.162 0.500  0.16
Bi4 0.148 0.352 0.000  -0.04

=====

Compound: LaZrBi3
Source: the Alexandria database
Functional: PBE
Structure: optimized geometry

Calculated values
Its energy above the most stable polymorph in this dataset is 1533 meV/atom. As for the space group: Pm-3m, No. 221.

Lattice parameters (Å, degrees): 5.961 5.961 5.961 90.00 90.00 90.00
Fractional positions:
Bi1 0.000 0.500 0.000
Zr1 0.500 0.500 0.500
Bi2 0.500 0.000 0.000
La1 0.000 0.000 0.000
Bi3 0.000 0.000 0.500

=====

Compound: La3ZrBi
Source: the Alexandria database
Functional: PBE
Structure: optimized geometry

Calculated values
Its energy above the most stable polymorph in this dataset is 420 meV/atom. As for the space group: Pm-3m, No. 221.

Lattice parameters (Å, degrees): 6.049 6.049 6.049 90.00 90.00 90.00
Fractional positions:
La1 0.000 0.000 0.500
Bi1 0.000 0.000 0.000
Zr1 0.500 0.500 0.500
La2 0.500 0.000 0.000
La3 0.000 0.500 0.000

=====

Compound: La3ZrBi
Source: the Alexandria database
Functional: PBE
Structure: optimized geometry

Calculated values
Its energy above the most stable polymorph in this dataset is 0 meV/atom. As for the space group: Pm-3m, No. 221.

Lattice parameters (Å, degrees): 5.640 5.640 5.640 90.00 90.00 90.00
Fractional positions:
La1 0.500 0.000 0.000
Bi1 0.500 0.500 0.500
La2 0.000 0.000 0.500
La3 0.000 0.500 0.000
Zr1 0.000 0.000 0.000

=====

Compound: Li13Bi2
Source: the Alexandria database
Functional: PBE
Structure: optimized geometry

Calculated values
As for the space group: R-3m, No. 166.

Lattice parameters (Å, degrees): 8.184 8.184 8.194 60.04 60.04 60.00
Fractional positions:
Li1 0.276 0.276 0.551
Bi1 0.266 0.266 0.202
Li2 0.724 0.724 0.449
Li3 0.512 0.148 0.828
Li4 0.896 0.276 0.551
Li5 0.488 0.488 0.172
Li6 0.852 0.488 0.172
Li7 0.104 0.724 0.449
Bi2 0.734 0.734 0.798
Li8 0.500 0.500 0.500
Li9 0.148 0.512 0.828
Li10 0.724 0.104 0.449
Li11 0.512 0.512 0.828
Li12 0.276 0.896 0.551
Li13 0.488 0.852 0.172

=====

Sequential formation energy output: -1.19; -3.31; -0.75; -2.46; -11.04; -0.56; -1.46; -1.24; -1.90; 0.36; -2.76; -2.90; -2.05; -0.54; -0.63; -3.04; 4.76; 2.79; 0.69; -0.60 eV per formula unit
Sequential D(E_F) output: 0.79; 1.10; 0.55; 1.38; 1.08; 0.69; 0.70; 1.03; 0.53; 1.01; 0.83; 0.57; 0.22; 1.19; 1.18; 0.42; 3.51; 2.79; 0.90; 0.55 states/eV/atom